(1)
The following is a GGA-PBE calculation of a geometry-optimized UGeP2Ru5 structure, from Alexandria via LeMat-Bulk.

Summary:
The formation enthalpy at 0 K comes out at -361 kJ/mol of formula units.

CIF file:
```
data_UGeP2Ru5
_chemical_formula_sum 'U1 Ge1 P2 Ru5'
_cell_length_a 4.030
_cell_length_b 4.030
_cell_length_c 8.290
_cell_angle_alpha 90.00
_cell_angle_beta 90.00
_cell_angle_gamma 90.00
_symmetry_space_group_name_H-M 'P 4/m m m'
_symmetry_Int_Tables_number 123
_symmetry_space_group_name_Hall '-P 4 2'
loop_
_atom_site_label
_atom_site_type_symbol
_atom_site_fract_x
_atom_site_fract_y
_atom_site_fract_z
_atom_site_occupancy
U1 U 0.000 0.000 0.000 1
Ge1 Ge 0.000 0.000 0.500 1
P1 P 0.500 0.500 0.137 1
Ru1 Ru 0.000 0.500 0.274 1
Ru2 Ru 0.500 0.500 0.500 1
```

=====

(2)
The following is a GGA-PBE calculation of a geometry-optimized Ge2PS8 structure, from Alexandria via LeMat-Bulk.

Summary:
As for the formation energy (no corrections): 0.11 eV/atom.

CIF file:
```
data_Ge2PS8
_chemical_formula_sum 'Ge4 P2 S16'
_cell_length_a 12.146
_cell_length_b 8.733
_cell_length_c 5.335
_cell_angle_alpha 90.00
_cell_angle_beta 100.66
_cell_angle_gamma 90.00
_symmetry_space_group_name_H-M 'C 1 2/m 1'
_symmetry_Int_Tables_number 12
loop_
_symmetry_equiv_pos_as_xyz
'x,y,z'
'-x,-y,-z'
'-x,y,-z'
'x,-y,z'
'x+1/2,y+1/2,z'
'-x+1/2,-y+1/2,-z'
'-x+1/2,y+1/2,-z'
'x+1/2,-y+1/2,z'
loop_
_atom_site_label
_atom_site_type_symbol
_atom_site_fract_x
_atom_site_fract_y
_atom_site_fract_z
_atom_site_occupancy
Ge1 Ge 0.187 0.000 0.091 1
P1 P 0.000 0.000 0.500 1
S1 S 0.056 0.198 0.170 1
S2 S 0.149 0.500 0.700 1
S3 S 0.184 0.000 0.676 1
```

=====

(3)
The following is a GGA-PBE calculation of a geometry-optimized GeP2S2 structure, from Alexandria via LeMat-Bulk.

Summary:
The energy above the most stable polymorph in this dataset is 356 meV per atom. As for the formation energy (no corrections): 0.56 eV/atom.

CIF file:
```
data_GeP2S2
_chemical_formula_sum 'Ge1 P2 S2'
_cell_length_a 4.559
_cell_length_b 4.559
_cell_length_c 4.485
_cell_angle_alpha 90.00
_cell_angle_beta 90.00
_cell_angle_gamma 90.00
_symmetry_space_group_name_H-M 'P 4/m m m'
_symmetry_Int_Tables_number 123
_symmetry_space_group_name_Hall '-P 4 2'
loop_
_atom_site_label
_atom_site_type_symbol
_atom_site_fract_x
_atom_site_fract_y
_atom_site_fract_z
_atom_site_occupancy
Ge1 Ge 0.000 0.000 0.000 1
P1 P 0.500 0.500 0.000 1
P2 P 0.500 0.500 0.500 1
S1 S 0.000 0.500 0.500 1
```

=====

(4)
The following is a GGA-PBE calculation of a geometry-optimized Ge2PS structure, from Alexandria via LeMat-Bulk.

Summary:
The energy above the most stable polymorph in this dataset is 15 meV per atom. As for the formation energy (no corrections): -0.01 eV/atom.

CIF file:
```
data_Ge2PS
_chemical_formula_sum 'Ge6 P3 S3'
_cell_length_a 3.6143
_cell_length_b 3.6143
_cell_length_c 21.8102
_cell_angle_alpha 90.00
_cell_angle_beta 90.00
_cell_angle_gamma 120.00
_symmetry_space_group_name_H-M 'R 3 m'
_symmetry_Int_Tables_number 160
_symmetry_space_group_name_Hall 'R 3 -2"'
loop_
_atom_site_label
_atom_site_type_symbol
_atom_site_fract_x
_atom_site_fract_y
_atom_site_fract_z
_atom_site_occupancy
Ge1 Ge 0.0000 0.0000 0.0000 1
Ge2 Ge 0.0000 0.0000 0.1875 1
P1 P 0.0000 0.0000 0.5767 1
S1 S 0.0000 0.0000 0.3944 1
```

=====

(5)
The following is a GGA-PBE calculation of a geometry-optimized Ge2P2S structure, from Alexandria via LeMat-Bulk.

Summary:
As for the formation energy (no corrections): 0.22 eV/atom.

CIF file:
```
data_Ge2P2S
_chemical_formula_sum 'Ge8 P8 S4'
_cell_length_a 8.905
_cell_length_b 8.728
_cell_length_c 6.556
_cell_angle_alpha 90.00
_cell_angle_beta 124.94
_cell_angle_gamma 90.00
_symmetry_space_group_name_H-M 'C 1 2/c 1'
_symmetry_Int_Tables_number 15
loop_
_symmetry_equiv_pos_as_xyz
'x,y,z'
'-x,-y,-z'
'-x,y,-z+1/2'
'x,-y,z+1/2'
'x+1/2,y+1/2,z'
'-x+1/2,-y+1/2,-z'
'-x+1/2,y+1/2,-z+1/2'
'x+1/2,-y+1/2,z+1/2'
loop_
_atom_site_label
_atom_site_type_symbol
_atom_site_fract_x
_atom_site_fract_y
_atom_site_fract_z
_atom_site_occupancy
Ge1 Ge 0.000 0.025 0.250 1
Ge2 Ge 0.000 0.343 0.750 1
P1 P 0.149 0.158 0.088 1
S1 S 0.000 0.408 0.250 1
```

=====

(6)
The following is a GGA-PBE calculation of a geometry-optimized GeP2S2 structure, from Alexandria via LeMat-Bulk.

Summary:
The energy above the most stable polymorph in this dataset is 0 meV per atom. As for the formation energy (no corrections): 0.21 eV/atom.

CIF file:
```
data_GeP2S2
_chemical_formula_sum 'Ge2 P4 S4'
_cell_length_a 8.682
_cell_length_b 4.866
_cell_length_c 5.754
_cell_angle_alpha 90.00
_cell_angle_beta 108.42
_cell_angle_gamma 90.00
_symmetry_space_group_name_H-M 'C 1 2/m 1'
_symmetry_Int_Tables_number 12
loop_
_symmetry_equiv_pos_as_xyz
'x,y,z'
'-x,-y,-z'
'-x,y,-z'
'x,-y,z'
'x+1/2,y+1/2,z'
'-x+1/2,-y+1/2,-z'
'-x+1/2,y+1/2,-z'
'x+1/2,-y+1/2,z'
loop_
_atom_site_label
_atom_site_type_symbol
_atom_site_fract_x
_atom_site_fract_y
_atom_site_fract_z
_atom_site_occupancy
Ge1 Ge 0.000 0.000 0.000 1
P1 P 0.060 0.500 0.206 1
S1 S 0.194 0.000 0.732 1
```

=====

Summary of total energy in eV/cell
-76.85 -92.88 -20.87 -56.43 -92.37 -45.30
(order as listed above)